Entry 1:
DFT (PBE-GGA) results for a relaxed LiCd2AgAu4 crystal.

The structure belongs to space group P4/mmm (No. 123); the cell edges are 4.539, 4.539 and 7.041 Å and the angles 90.00°, 90.00° and 90.00°. The distinct sites, in fractional coordinates, are Li at (0.000, 0.000, 0.000), Cd at (0.000, 0.000, 0.500), Cd at (0.500, 0.500, 0.000), Ag at (0.500, 0.500, 0.500) and Au at (0.000, 0.500, 0.240).

***

Entry 2:
DFT (PBE-GGA) results for a relaxed Tl2Ni3PtSe6 crystal.

For the total magnetic moment, the calculation gives 0.0 μB/f.u.

The structure belongs to space group P-3m1 (No. 164); the cell edges are 7.2514, 7.2514 and 6.0242 Å and the angles 90.00°, 90.00° and 120.00°. The distinct sites, in fractional coordinates, are Tl at (0.3333, 0.6667, 0.1551), Ni at (0.0000, 0.5000, 0.5000), Pt at (0.0000, 0.0000, 0.5000) and Se at (0.1774, 0.3547, 0.6983).

***

Entry 3:
DFT (PBE-GGA) results for a relaxed Lu7Co2Se2 crystal.

For the total magnetic moment, the calculation gives 0.0 μB/f.u.

The structure belongs to space group Imm2 (No. 44); the cell edges are 3.713, 14.755 and 9.055 Å and the angles 90.00°, 90.00° and 90.00°. The distinct sites, in fractional coordinates, are Lu at (0.000, 0.000, 0.000), Lu at (0.000, 0.128, 0.583), Lu at (0.000, 0.315, 0.376), Lu at (0.000, 0.358, 0.736), Co at (0.000, 0.237, 0.072), Se at (0.000, 0.000, 0.340) and Se at (0.000, 0.500, 0.239).

***

For reference, uncorrected energy by record: -2.70 -4.39 -5.57 eV/atom.
For reference, ρ by record: 12.91 7.59 10.05 Mg/m³.